# K2SiW PBE optimized geometry
data_K2SiW
_chemical_formula_sum 'K2 Si1 W1'
_symmetry_space_group_name_H-M 'P 1'
_symmetry_Int_Tables_number 1
_symmetry_space_group_name_Hall 'P 1'
_cell_length_a 3.029
_cell_length_b 3.029
_cell_length_c 11.507
_cell_angle_alpha 90.00
_cell_angle_beta 90.00
_cell_angle_gamma 103.24
loop_
_atom_site_label
_atom_site_fract_x
_atom_site_fract_y
_atom_site_fract_z
_atom_site_occupancy
Si1 0.000 0.000 0.545 1
K1 0.500 0.500 0.320 1
K2 0.000 0.000 0.944 1
W1 0.500 0.500 0.692 1
# * formation energy without anion corrections: 78.4 kJ per mole of atoms
# * spin magnetization: 0.000 μB/atom
# * V: 25.7 A^3/atom
# * total DFT energy (no corrections): -4.331 eV per atom

# La4TlCd5 PBE optimized geometry
data_La4TlCd5
_chemical_formula_sum 'La4 Tl1 Cd5'
_symmetry_space_group_name_H-M 'P 1'
_symmetry_Int_Tables_number 1
_symmetry_space_group_name_Hall 'P 1'
_cell_length_a 5.316
_cell_length_b 6.847
_cell_length_c 8.796
_cell_angle_alpha 105.66
_cell_angle_beta 107.59
_cell_angle_gamma 90.00
loop_
_atom_site_label
_atom_site_fract_x
_atom_site_fract_y
_atom_site_fract_z
_atom_site_occupancy
La1 0.311 0.667 0.622 1
La2 0.689 0.333 0.378 1
La3 0.902 0.128 0.803 1
La4 0.098 0.872 0.197 1
Cd1 0.093 0.400 0.187 1
Cd2 0.709 0.831 0.418 1
Cd3 0.291 0.169 0.582 1
Cd4 0.907 0.600 0.813 1
Cd5 0.500 0.500 0.000 1
Tl1 0.500 0.000 0.000 1
# * spin magnetization: 0.000 μB/atom
# * V: 29.3 A^3/atom
# * total DFT energy (no corrections): -2.997 eV per atom
# * formation enthalpy at 0 K: -0.33 eV/atom